# 1
## Mg2Zr2Zn (PBE-GGA)

Data for an optimized crystal structure of Mg2Zr2Zn.

* DFT formation energy: 0.13 eV/atom
* uncorrected energy: -4.183 eV per atom

Cell lengths 6.7334, 6.7334, 4.6334 Å; angles 90.00, 90.00, 90.00 degrees
Closest atoms and distances in Å follow each position.
Space group P4/mbm (No. 127)
Unique sites:
Mg: 0.1417 0.3583 0.0000 (multiplicity 4)  2 Zn 2.59, 1 Mg 2.70
Zr: 0.1647 0.6647 0.5000 (multiplicity 4)  6 Mg 2.96-3.11, 1 Zr 3.14
Zn: 0.0000 0.0000 0.0000 (multiplicity 2)  4 Mg 2.59


# 2
## Ti6Rh5Au (PBE-GGA)

Data for an optimized crystal structure of Ti6Rh5Au.

* DFT formation energy: -0.67 eV/atom
* uncorrected energy: -7.950 eV per atom

Cell lengths 4.1278, 7.1716, 12.3802 Å; angles 90.00, 90.00, 90.00 degrees
Closest atoms and distances in Å follow each position.
Space group Immm (No. 71)
Unique sites:
Ti: 0.0000 0.2343 0.0000 (multiplicity 4)  6 Rh 2.66-2.77, 2 Au 2.81, 4 Ti 2.94
Ti: 0.0000 0.2575 0.3307 (multiplicity 8)  7 Rh 2.70-2.77, 1 Au 2.79, 4 Ti 2.87-2.94
Rh: 0.0000 0.0000 0.1706 (multiplicity 4)  8 Ti 2.70-2.71, 4 Rh 2.92-2.95
Rh: 0.0000 0.5000 0.1621 (multiplicity 4)  8 Ti 2.72-2.77, 2 Au 2.88, 2 Rh 2.92
Rh: 0.0000 0.5000 0.5000 (multiplicity 2)  8 Ti 2.66-2.72, 4 Rh 2.95
Au: 0.0000 0.0000 0.5000 (multiplicity 2)  8 Ti 2.79-2.81, 4 Rh 2.88


# 3
## Dy4In2O (PBE-GGA)

Data for an optimized crystal structure of Dy4In2O.

* energy relative to the elements, uncorrected: -1.10 eV per atom
* uncorrected energy: -5.220 eV per atom

Cell lengths 4.6441, 4.6441, 16.4208 Å; angles 90.00, 90.00, 90.00 degrees
Closest atoms and distances in Å follow each position.
Space group I4/mmm (No. 139)
Unique sites:
Dy: 0.0000 0.0000 0.1697 (multiplicity 4)  1 O 2.79
Dy: 0.0000 0.5000 0.0000 (multiplicity 4)  2 O 2.32
In: 0.0000 0.0000 0.3615 (multiplicity 4)  9 Dy 3.15-3.32
O: 0.0000 0.0000 0.0000 (multiplicity 2)  4 Dy 2.32


# 4
## MgCoMo2 (PBE-GGA)

Data for an optimized crystal structure of MgCoMo2.

* DFT formation energy: 0.62 eV/atom
* uncorrected energy: -6.974 eV per atom

Cell lengths 7.1456, 7.1456, 5.0498 Å; angles 90.00, 90.00, 90.00 degrees
Closest atoms and distances in Å follow each position.
Space group I-42d (No. 122)
Unique sites:
Mg: 0.0000 0.0000 0.0000 (multiplicity 4)  2 Co 2.52
Co: 0.0000 0.0000 0.5000 (multiplicity 4)  4 Mo 2.38, 2 Mg 2.52
Mo: 0.2016 0.2500 0.6250 (multiplicity 8)  2 Co 2.38, 2 Mo 2.62


- The highest uncorrected energy belongs to which entry?
  Mg2Zr2Zn


- Which formula does entry 3 have?
  Dy4In2O


- Which of these has the highest uncorrected energy?
  Mg2Zr2Zn